Arrangement w

First-principles (PBE-GGA) data for an optimized crystal structure of LiReNi, as listed in Alexandria.

The structure in POSCAR format:
```
LiReNi
1.0
-1.320 1.320 5.635
1.320 -1.320 5.635
1.320 1.320 -5.635
Li Re Ni
1 1 1
Direct
0.000 0.000 0.000 Li
0.312 0.312 0.000 Re
0.660 0.660 0.000 Ni
```

Results
Magnetic moment   0.0 μB per formula unit
N(E_F)   2.037 states/eV per cell
Space group   No. 107
Calculated volume   39.3 Å³ per cell



Arrangement x

First-principles (PBE-GGA) data for an optimized crystal structure of LiReNi, as listed in Alexandria.

The structure in POSCAR format:
```
LiReNi
1.0
3.943 -2.217 0.000
3.943 2.217 0.000
-2.450 0.000 4.317
Li Re Ni
2 2 2
Direct
0.000 0.000 0.000 Li
0.864 0.136 0.500 Li
0.336 0.340 0.010 Re
0.660 0.664 0.990 Re
0.191 0.485 0.505 Ni
0.515 0.809 0.495 Ni
```

Results
Magnetic moment   0.0 μB per formula unit
N(E_F)   5.710 states/eV per cell
Space group   No. 5
Calculated volume   75.5 Å³ per cell



It turns out arrangement x is the most stable, with the second structure 0.012 eV/atom higher.